A) A geometry-optimized MgFeAs2 structure. Source: the Alexandria database, functional PBEsol.

Geometry as POSCAR:
```
MgFeAs2
1.0
-1.899 -0.285 3.838
0.205 -3.643 -2.569
2.697 -3.152 1.100
As Fe Mg
2 1 1
Direct
0.250 0.500 0.250
0.750 0.500 0.750
0.500 0.000 0.500
0.000 0.000 0.000
```

Its size of the total moment is 0.897 μB/f.u. As for the space group: I4/mmm.

B) A geometry-optimized MgFeAs2 structure. Source: the Alexandria database, functional PBEsol.

Geometry as POSCAR:
```
MgFeAs2
1.0
-0.877 0.508 -3.271
3.053 -2.722 -1.241
-2.821 -3.276 0.247
As Fe Mg
2 1 1
Direct
0.000 0.000 0.000
0.000 0.500 0.500
0.500 0.500 0.000
0.500 0.000 0.500
```

Its size of the total moment is 2.244 μB/f.u. As for the space group: Pmmm.

What should be chosen as the most stable of them? Choose A).

A) A geometry-optimized FeNiAs2 structure. Source: the Alexandria database, functional PBEsol.

Geometry as POSCAR:
```
FeNiAs2
1.0
-2.018 0.219 2.177
1.229 -2.338 1.374
3.524 3.571 2.907
As Fe Ni
2 1 1
Direct
0.000 0.001 0.743
0.000 0.999 0.257
0.500 0.500 0.500
0.500 0.500 0.000
```

Its size of the total moment is 1.301 μB/f.u. As for the space group: P2/m.

B) A geometry-optimized FeNiAs2 structure. Source: the Alexandria database, functional PBEsol.

Geometry as POSCAR:
```
FeNiAs2
1.0
-1.125 -1.368 2.575
-2.996 -1.808 -2.270
3.600 -2.136 -1.458
As Fe Ni
2 1 1
Direct
0.999 0.919 0.999
0.755 0.340 0.509
0.477 0.426 0.955
0.269 0.814 0.537
```

Its size of the total moment is 1.466 μB/f.u. As for the space group: Cm.

What should be chosen as the most stable of them? Choose B).

A) A geometry-optimized FeRe2As structure. Source: the Alexandria database, functional PBEsol.

Geometry as POSCAR:
```
FeRe2As
1.0
2.957 0.000 0.000
0.000 2.957 0.000
0.000 0.000 6.146
As Fe Re
1 1 2
Direct
0.500 0.500 0.000
0.500 0.500 0.500
0.000 0.000 0.744
0.000 0.000 0.256
```

Its size of the total moment is 1.683 μB/f.u. As for the space group: P4/mmm.

B) A geometry-optimized FeRe2As structure. Source: the Alexandria database, functional PBEsol.

Geometry as POSCAR:
```
FeRe2As
1.0
2.839 0.000 0.000
0.000 2.839 0.000
0.000 0.000 6.594
As Fe Re
1 1 2
Direct
0.000 0.000 0.522
0.500 0.500 0.724
0.000 0.000 0.993
0.500 0.500 0.261
```

Its size of the total moment is 0.003 μB/f.u. As for the space group: P4mm.

What should be chosen as the most stable of them? Choose B).

A) A geometry-optimized Fe3AsRh structure. Source: the Alexandria database, functional PBEsol.

Geometry as POSCAR:
```
Fe3AsRh
1.0
-0.287 4.157 -0.865
-4.005 -0.553 -1.327
-1.409 0.724 3.950
As Rh Fe
1 1 3
Direct
0.000 0.000 0.000
0.500 0.500 0.500
0.000 0.500 0.000
0.000 0.000 0.500
0.500 0.000 0.000
```

Its size of the total moment is 8.335 μB/f.u. As for the space group: Pm-3m.

B) A geometry-optimized Fe3AsRh structure. Source: the Alexandria database, functional PBEsol.

Geometry as POSCAR:
```
Fe3AsRh
1.0
-3.344 -1.413 2.694
2.891 -0.232 3.468
-0.946 4.288 1.075
As Rh Fe
1 1 3
Direct
0.500 0.500 0.500
0.000 0.000 0.000
0.000 0.500 0.000
0.000 0.000 0.500
0.500 0.000 0.000
```

Its size of the total moment is 10.586 μB/f.u. As for the space group: Pm-3m.

What should be chosen as the most stable of them? Choose A).

A) A geometry-optimized FeSi2As structure. Source: the Alexandria database, functional PBEsol.

Geometry as POSCAR:
```
FeSi2As
1.0
4.031 0.000 0.000
-2.015 3.819 0.062
0.000 2.071 3.458
As Fe Si
1 1 2
Direct
0.500 0.000 0.500
0.750 0.500 0.750
0.000 0.000 0.000
0.250 0.500 0.250
```

Its size of the total moment is 0.014 μB/f.u. As for the space group: I-4m2.

B) A geometry-optimized FeSi2As structure. Source: the Alexandria database, functional PBEsol.

Geometry as POSCAR:
```
FeSi2As
1.0
2.826 0.000 0.000
0.000 2.826 0.000
0.000 0.000 6.867
As Fe Si
1 1 2
Direct
0.000 0.000 0.557
0.500 0.500 0.779
0.000 0.000 0.963
0.500 0.500 0.201
```

Its size of the total moment is 0.598 μB/f.u. As for the space group: P4mm.

What should be chosen as the most stable of them? Choose B).

A) A geometry-optimized YFeAs2 structure. Source: the Alexandria database, functional PBEsol.

Geometry as POSCAR:
```
YFeAs2
1.0
-1.687 2.139 -1.565
-3.015 -1.109 1.734
3.420 3.625 4.421
As Fe Y
2 1 1
Direct
0.025 0.025 0.049
0.817 0.317 0.635
0.459 0.459 0.917
0.199 0.699 0.398
```

Its size of the total moment is 0.849 μB/f.u. As for the space group: Imm2.

B) A geometry-optimized YFeAs2 structure. Source: the Alexandria database, functional PBEsol.

Geometry as POSCAR:
```
YFeAs2
1.0
4.626 0.000 0.000
2.313 4.006 0.000
2.313 1.335 3.777
As Fe Y
2 1 1
Direct
0.250 0.250 0.250
0.750 0.750 0.750
0.500 0.500 0.500
0.000 0.000 0.000
```

Its size of the total moment is 1.792 μB/f.u. As for the space group: Fm-3m.

What should be chosen as the most stable of them? Choose A).

A) A geometry-optimized GaAsSe2N structure. Source: the Alexandria database, functional PBEsol.

Geometry as POSCAR:
```
GaAsSe2N
1.0
-1.625 -2.861 -3.599
1.946 -3.918 2.235
-4.203 -0.691 2.447
As Ga Se N
1 1 2 1
Direct
0.500 0.000 0.000
0.000 0.000 0.000
0.000 0.000 0.500
0.000 0.500 0.000
0.500 0.500 0.500
```

Its size of the total moment is 2.364 μB/f.u. As for the space group: P4/mmm.

B) A geometry-optimized GaAsSe2N structure. Source: the Alexandria database, functional PBEsol.

Geometry as POSCAR:
```
GaAsSe2N
1.0
-0.542 2.087 3.939
-3.941 -1.676 0.346
1.631 -3.416 2.034
As Ga Se N
1 1 2 1
Direct
0.500 0.000 0.000
0.500 0.500 0.500
0.000 0.000 0.500
0.000 0.500 0.000
0.000 0.000 0.000
```

Its size of the total moment is 0.000 μB/f.u. As for the space group: P4/mmm.

What should be chosen as the most stable of them? Choose B).

A) A geometry-optimized NaGaAs3 structure. Source: the Alexandria database, functional PBEsol.

Geometry as POSCAR:
```
NaGaAs3
1.0
-4.887 -0.454 -0.632
0.449 -4.928 0.066
-0.635 0.008 4.908
Na As Ga
1 3 1
Direct
0.000 0.000 0.000
0.000 0.500 0.000
0.000 0.000 0.500
0.500 0.000 0.000
0.500 0.500 0.500
```

Its size of the total moment is 0.000 μB/f.u. As for the space group: Pm-3m.

B) A geometry-optimized NaGaAs3 structure. Source: the Alexandria database, functional PBEsol.

Geometry as POSCAR:
```
NaGaAs3
1.0
-1.799 -2.488 -3.873
-2.451 -3.002 3.067
-3.896 3.037 -0.142
Na As Ga
1 3 1
Direct
0.500 0.500 0.500
0.000 0.500 0.000
0.000 0.000 0.500
0.500 0.000 0.000
0.000 0.000 0.000
```

Its size of the total moment is 0.001 μB/f.u. As for the space group: Pm-3m.

What should be chosen as the most stable of them? Choose B).

A) A geometry-optimized RbGaAs2Se structure. Source: the Alexandria database, functional PBEsol.

Geometry as POSCAR:
```
RbGaAs2Se
1.0
5.535 0.000 0.000
0.000 5.535 0.000
0.000 0.000 5.674
As Ga Se Rb
2 1 1 1
Direct
0.000 0.500 0.000
0.500 0.000 0.000
0.500 0.500 0.500
0.000 0.000 0.500
0.000 0.000 0.000
```

Its size of the total moment is 0.005 μB/f.u. As for the space group: P4/mmm.

B) A geometry-optimized RbGaAs2Se structure. Source: the Alexandria database, functional PBEsol.

Geometry as POSCAR:
```
RbGaAs2Se
1.0
4.963 0.000 0.000
0.000 4.963 0.000
0.000 0.000 5.266
As Ga Se Rb
2 1 1 1
Direct
0.000 0.500 0.000
0.500 0.000 0.000
0.000 0.000 0.000
0.000 0.000 0.500
0.500 0.500 0.500
```

Its size of the total moment is 0.004 μB/f.u. As for the space group: P4/mmm.

What should be chosen as the most stable of them? Choose B).

A) A geometry-optimized NaGeAs2Se structure. Source: the Alexandria database, functional PBEsol.

Geometry as POSCAR:
```
NaGeAs2Se
1.0
4.938 0.000 0.000
0.000 4.938 0.000
0.000 0.000 5.135
Na As Ge Se
1 2 1 1
Direct
0.500 0.500 0.500
0.000 0.500 0.000
0.500 0.000 0.000
0.000 0.000 0.000
0.000 0.000 0.500
```

Its size of the total moment is 0.020 μB/f.u. As for the space group: P4/mmm.

B) A geometry-optimized NaGeAs2Se structure. Source: the Alexandria database, functional PBEsol.

Geometry as POSCAR:
```
NaGeAs2Se
1.0
4.894 0.000 0.000
0.000 4.894 0.000
0.000 0.000 5.005
Na As Ge Se
1 2 1 1
Direct
0.000 0.000 0.000
0.000 0.500 0.000
0.500 0.000 0.000
0.500 0.500 0.500
0.000 0.000 0.500
```

Its size of the total moment is 0.001 μB/f.u. As for the space group: P4/mmm.

What should be chosen as the most stable of them? Choose A).

A) A geometry-optimized GeAs3O structure. Source: the Alexandria database, functional PBEsol.

Geometry as POSCAR:
```
GeAs3O
1.0
-1.352 1.162 -4.008
0.562 -4.124 -1.385
-4.135 -0.941 1.122
As Ge O
3 1 1
Direct
0.000 0.500 0.000
0.000 0.000 0.500
0.500 0.000 0.000
0.500 0.500 0.500
0.000 0.000 0.000
```

Its size of the total moment is 0.000 μB/f.u. As for the space group: Pm-3m.

B) A geometry-optimized GeAs3O structure. Source: the Alexandria database, functional PBEsol.

Geometry as POSCAR:
```
GeAs3O
1.0
-1.873 1.996 -3.988
2.971 -2.668 -2.731
-3.327 -3.507 -0.192
As Ge O
3 1 1
Direct
0.000 0.500 0.000
0.000 0.000 0.500
0.500 0.000 0.000
0.000 0.000 0.000
0.500 0.500 0.500
```

Its size of the total moment is 1.541 μB/f.u. As for the space group: Pm-3m.

What should be chosen as the most stable of them? Choose A).

A) A geometry-optimized SiGeAs2 structure. Source: the Alexandria database, functional PBEsol.

Geometry as POSCAR:
```
SiGeAs2
1.0
4.610 0.000 0.000
2.305 3.993 0.000
2.305 1.331 3.764
As Si Ge
2 1 1
Direct
0.250 0.250 0.250
0.750 0.750 0.750
0.000 0.000 0.000
0.500 0.500 0.500
```

Its size of the total moment is 0.000 μB/f.u. As for the space group: Fm-3m.

B) A geometry-optimized SiGeAs2 structure. Source: the Alexandria database, functional PBEsol.

Geometry as POSCAR:
```
SiGeAs2
1.0
6.363 0.000 0.000
-3.182 5.344 0.222
0.000 3.570 5.268
As Si Ge
4 2 2
Direct
0.596 0.750 0.375
0.154 0.750 0.875
0.875 0.250 0.596
0.375 0.250 0.154
0.250 0.500 0.250
0.500 0.000 0.500
0.750 0.500 0.750
0.000 0.000 0.000
```

Its size of the total moment is 0.000 μB/f.u. As for the space group: I-42d.

What should be chosen as the most stable of them? Choose B).